a) Ta2GeF, relaxed, DFT PBE-GGA; M_tot = 0.0000 μB/atom; DOS(E_F) = 3.8 states/eV/f.u.
1.0
-3.936 0.482 -5.304
-5.295 -1.068 3.832
-4.864 2.519 -0.296
F Ta Ge
2 4 2
Cartesian
-7.387 0.579 1.400 F
-4.615 -0.293 -0.736 F
-11.372 1.448 -1.765 Ta
-7.463 1.599 -0.518 Ta
-5.280 0.055 1.304 Ta
-4.076 0.766 -2.556 Ta
-6.708 1.354 -3.168 Ge
0.000 0.000 0.000 Ge

b) Ta2GeF, relaxed, DFT PBE-GGA; M_tot = 0.0000 μB/atom; DOS(E_F) = 2.9 states/eV/f.u.
1.0
0.000 3.122 3.122
3.122 0.000 3.122
3.122 3.122 0.000
Ge F Ta
1 1 2
Cartesian
3.122 3.122 3.122 Ge
0.000 0.000 0.000 F
1.561 1.561 1.561 Ta
4.684 4.684 4.684 Ta

Winner for stability: b)